12
Lattice="6.0709 0.0000 0.0000 0.0000 15.9127 0.0000 0.0000 0.0000 3.5507" Properties=species:S:1:pos:R:3 comment="Ho3CoBi2, optimized geometry, DFT PBE" spacegroup="No. 65" total_magnetization_mub_per_cell=0.00 delta_e_f_ev_per_atom=-0.2857 pbc="T T T"
Ho 0.0000 0.0000 0.0000
Ho 0.0000 6.1001 1.7753
Ho 0.0000 9.8126 1.7753
Ho 3.0354 1.8563 1.7753
Ho 3.0354 7.9563 0.0000
Ho 3.0354 14.0564 1.7753
Co 0.0000 7.9563 0.0000
Co 3.0354 0.0000 0.0000
Bi 0.0000 2.7796 1.7753
Bi 0.0000 13.1331 1.7753
Bi 3.0354 5.1767 1.7753
Bi 3.0354 10.7359 1.7753